# 1
The following is a DFT calculation (PBE-GGA) of a geometry-optimized Ac4PrSn5 structure.

Cell: 3.7884 3.7884 22.9888 Å, 90.00 90.00 90.00°
With the nearest neighbours (Å) after each atom.
Space group P4/mmm (No. 123)
Symmetry-distinct sites (fractional):
Ac  0.0000  0.0000  0.1015 x2  8 Sn 3.55, 4 Ac 3.79
Ac  0.0000  0.0000  0.3046 x2  8 Sn 3.55, 4 Ac 3.79
Pr  0.0000  0.0000  0.5000 x1  8 Sn 3.44, 4 Pr 3.79
Sn  0.5000  0.5000  0.0000 x1  8 Ac 3.55, 4 Sn 3.79
Sn  0.5000  0.5000  0.2030 x2  8 Ac 3.55, 4 Sn 3.79
Sn  0.5000  0.5000  0.4060 x2  4 Pr 3.44, 4 Ac 3.55, 4 Sn 3.79

Properties
Total magnetization ... 0.0 μB/cell
Formation energy ... -0.622 eV/atom
Density ... 8.27 g/cm3



# 2
The following is a DFT calculation (PBE-GGA) of a geometry-optimized Ac2Pr3Sn4 structure.

Cell: 7.3958 18.0094 9.3037 Å, 90.00 90.00 90.00°
With the nearest neighbours (Å) after each atom.
Space group Cmce (No. 64)
Symmetry-distinct sites (fractional):
Ac  0.0000  0.1099  0.0861 x8  6 Sn 3.51-3.91
Pr  0.0000  0.0000  0.5000 x4  6 Sn 3.03-3.38
Pr  0.2500  0.2074  0.7500 x8  5 Sn 3.15-3.41
Sn  0.0000  0.1854  0.4448 x8  5 Pr 3.23-3.41, 1 Ac 3.60
Sn  0.2500  0.0326  0.7500 x8  3 Pr 3.03-3.15

Properties
Total magnetization ... 0.0 μB/cell
Formation energy ... -0.637 eV/atom
Density ... 7.24 g/cm3



# 3
The following is a DFT calculation (PBE-GGA) of a geometry-optimized AcPrSn structure.

Cell: 4.6478 4.6478 6.6625 Å, 90.00 90.00 120.00°
With the nearest neighbours (Å) after each atom.
Space group P3m1 (No. 156)
Symmetry-distinct sites (fractional):
Ac  0.0000  0.0000  0.0000 x1  3 Sn 3.33
Pr  0.6667  0.3333  0.4604 x1  3 Sn 3.13
Sn  0.3333  0.6667  0.7032 x1  3 Pr 3.13, 3 Ac 3.33

Properties
Total magnetization ... 1.4 μB/cell
Formation energy ... -0.213 eV/atom
Density ... 6.48 g/cm3



# 4
The following is a DFT calculation (PBE-GGA) of a geometry-optimized AcPr2Sn2 structure.

Cell: 13.2125 4.2351 6.3690 Å, 90.00 101.94 90.00°
With the nearest neighbours (Å) after each atom.
Space group C2/m (No. 12)
Symmetry-distinct sites (fractional):
Ac  0.0000  0.0000  0.0000 x2  4 Sn 3.47
Pr  0.1347  0.5000  0.5689 x4  4 Sn 3.20-3.48, 1 Pr 3.49
Sn  0.2123  0.5000  0.1249 x4  2 Sn 2.94, 3 Pr 3.20-3.28

Properties
Total magnetization ... 0.0 μB/cell
Formation energy ... -0.480 eV/atom
Density ... 7.11 g/cm3



# 5
The following is a DFT calculation (PBE-GGA) of a geometry-optimized AcPrSn structure.

Cell: 4.5179 4.5179 15.3416 Å, 90.00 90.00 120.00°
With the nearest neighbours (Å) after each atom.
Space group P6_3mc (No. 186)
Symmetry-distinct sites (fractional):
Ac  0.3333  0.6667  0.0000 x2  3 Sn 3.27
Pr  0.3333  0.6667  0.7406 x2  3 Sn 3.12
Sn  0.0000  0.0000  0.1286 x2  3 Pr 3.12, 3 Ac 3.27

Properties
Total magnetization ... 1.5 μB/cell
Formation energy ... -0.129 eV/atom
Density ... 5.96 g/cm3



# 6
The following is a DFT calculation (PBE-GGA) of a geometry-optimized AcPr3Sn2 structure.

Cell: 18.9874 4.8599 9.8848 Å, 90.00 114.52 90.00°
With the nearest neighbours (Å) after each atom.
Space group C2/m (No. 12)
Symmetry-distinct sites (fractional):
Ac  0.1167  0.0000  0.1371 x4  6 Sn 3.44-3.62, 1 Pr 3.74
Pr  0.0542  0.0000  0.6889 x4  3 Sn 3.23-3.41, 3 Pr 3.44-3.51
Pr  0.1467  0.5000  0.4790 x4  4 Sn 3.28-3.40
Pr  0.1920  0.5000  0.8872 x4  4 Sn 3.33-3.66, 4 Pr 3.41-3.51
Sn  0.0099  0.5000  0.8542 x4  1 Sn 3.06, 4 Pr 3.23-3.40
Sn  0.2378  0.0000  0.7079 x4  7 Pr 3.28-3.66, 2 Ac 3.52

Properties
Total magnetization ... 0.0 μB/cell
Formation energy ... -0.520 eV/atom
Density ... 7.10 g/cm3



# 7
The following is a DFT calculation (PBE-GGA) of a geometry-optimized AcPrSn structure.

Cell: 7.7700 7.7700 7.7700 Å, 90.00 90.00 90.00°
With the nearest neighbours (Å) after each atom.
Space group F-43m (No. 216)
Symmetry-distinct sites (fractional):
Ac  0.0000  0.0000  0.0000 x4  4 Sn 3.36
Pr  0.0000  0.0000  0.5000 x4  4 Sn 3.36
Sn  0.2500  0.2500  0.7500 x4  4 Ac 3.36, 4 Pr 3.36

Properties
Total magnetization ... 0.0 μB/cell
Formation energy ... -0.399 eV/atom
Density ... 6.89 g/cm3



# 8
The following is a DFT calculation (PBE-GGA) of a geometry-optimized Ac6PrSn4 structure.

Cell: 8.5372 8.5372 12.7325 Å, 90.00 90.00 90.00°
With the nearest neighbours (Å) after each atom.
Space group I-42m (No. 121)
Symmetry-distinct sites (fractional):
Ac  0.0000  0.5000  0.0000 x4  4 Sn 3.26
Ac  0.1584  0.1584  0.1692 x8  4 Sn 3.30-3.48
Pr  0.0000  0.0000  0.5000 x2  4 Sn 3.50
Sn  0.2279  0.2279  0.9048 x8  6 Ac 3.26-3.48, 1 Pr 3.50

Properties
Total magnetization ... 0.0 μB/cell
Formation energy ... -0.346 eV/atom
Density ... 7.08 g/cm3



# 9
The following is a DFT calculation (PBE-GGA) of a geometry-optimized Ac4PrSn2 structure.

Cell: 6.7978 8.4965 10.0610 Å, 93.84 102.31 105.35°
With the nearest neighbours (Å) after each atom.
Space group P1 (No. 1)
Symmetry-distinct sites (fractional):
Ac  0.0000  0.0000  0.0000 x1  3 Sn 3.42-3.78, 2 Ac 3.50, 1 Pr 3.69
Ac  0.0079  0.4600  0.8882 x1  3 Sn 3.31-3.61
Ac  0.2616  0.2073  0.6543 x1  4 Sn 3.48-3.58, 1 Pr 3.89
Ac  0.3624  0.7057  0.5423 x1  4 Sn 3.32-3.49
Ac  0.4540  0.9219  0.9365 x1  4 Sn 3.36-3.71, 2 Ac 3.50
Ac  0.5106  0.4057  0.1109 x1  2 Sn 3.36-3.59, 1 Pr 3.71
Ac  0.7583  0.4348  0.5188 x1  2 Sn 3.30-3.45, 2 Pr 3.36-3.63
Ac  0.8456  0.8270  0.3342 x1  3 Sn 3.48-3.82, 1 Pr 3.85, 1 Ac 3.89
Pr  0.0355  0.3270  0.2722 x1  1 Sn 3.41, 2 Ac 3.63-3.69
Pr  0.4496  0.0767  0.3360 x1  2 Sn 3.20-3.46, 1 Ac 3.36
Sn  0.2513  0.7057  0.1883 x1  2 Pr 3.20-3.41, 3 Ac 3.38-3.53
Sn  0.5800  0.5862  0.8309 x1  5 Ac 3.31-3.48, 1 Sn 3.54
Sn  0.7248  0.0780  0.6683 x1  1 Sn 3.22, 4 Ac 3.42-3.58, 1 Pr 3.46
Sn  0.9818  0.8091  0.6856 x1  2 Sn 3.22-3.54, 6 Ac 3.30-3.49

Properties
Total magnetization ... 0.0 μB/cell
Formation energy ... -0.311 eV/atom
Density ... 7.87 g/cm3



# 10
The following is a DFT calculation (PBE-GGA) of a geometry-optimized Ac4PrSn15 structure.

Cell: 4.8678 4.8678 24.7346 Å, 90.00 90.00 90.00°
With the nearest neighbours (Å) after each atom.
Space group P4/mmm (No. 123)
Symmetry-distinct sites (fractional):
Ac  0.0000  0.0000  0.1009 x2  12 Sn 3.44-3.49
Ac  0.0000  0.0000  0.3035 x2  12 Sn 3.44-3.49
Pr  0.0000  0.0000  0.5000 x1  12 Sn 3.40-3.44
Sn  0.0000  0.5000  0.0000 x2  8 Sn 3.44-3.49, 4 Ac 3.49
Sn  0.0000  0.5000  0.2023 x4  8 Sn 3.44-3.49, 4 Ac 3.49
Sn  0.0000  0.5000  0.4043 x4  8 Sn 3.40-3.50, 2 Pr 3.40, 2 Ac 3.48
Sn  0.5000  0.5000  0.1010 x2  4 Ac 3.44, 8 Sn 3.49
Sn  0.5000  0.5000  0.3028 x2  4 Ac 3.44, 8 Sn 3.48-3.50
Sn  0.5000  0.5000  0.5000 x1  8 Sn 3.40, 4 Pr 3.44

Properties
Total magnetization ... 0.0 μB/cell
Formation energy ... -0.500 eV/atom
Density ... 8.02 g/cm3



# 11
The following is a DFT calculation (PBE-GGA) of a geometry-optimized Ac6PrSn6 structure.

Cell: 8.0902 8.0902 9.4418 Å, 90.00 90.00 120.00°
With the nearest neighbours (Å) after each atom.
Space group P6/mmm (No. 191)
Symmetry-distinct sites (fractional):
Ac  0.0000  0.5000  0.2450 x6  4 Sn 3.29-3.35
Pr  0.0000  0.0000  0.5000 x1  2 Sn 3.20
Sn  0.0000  0.0000  0.1607 x2  1 Sn 3.03, 1 Pr 3.20
Sn  0.3333  0.6667  0.0000 x2  6 Ac 3.29
Sn  0.3333  0.6667  0.5000 x2  6 Ac 3.35

Properties
Total magnetization ... 0.0 μB/cell
Formation energy ... -0.347 eV/atom
Density ... 6.87 g/cm3



# 12
The following is a DFT calculation (PBE-GGA) of a geometry-optimized AcPr2Sn structure.

Cell: 3.7171 3.7171 36.6683 Å, 90.00 90.00 120.00°
With the nearest neighbours (Å) after each atom.
Space group R-3m (No. 166, hexagonal axes)
Symmetry-distinct sites (fractional):
Ac  0.0000  0.0000  0.0000 x3  2 Pr 3.60, 6 Ac 3.72
Pr  0.0000  0.0000  0.0983 x6  3 Sn 3.30, 1 Ac 3.60
Sn  0.0000  0.0000  0.5000 x3  6 Pr 3.30

Properties
Total magnetization ... 0.0 μB/cell
Formation energy ... -0.033 eV/atom
Density ... 7.12 g/cm3



# 13
The following is a DFT calculation (PBE-GGA) of a geometry-optimized Ac3PrSn4 structure.

Cell: 4.5043 7.3000 18.2797 Å, 90.00 90.00 90.00°
With the nearest neighbours (Å) after each atom.
Space group Immm (No. 71)
Symmetry-distinct sites (fractional):
Ac  0.0000  0.0000  0.0000 x2  8 Sn 3.55
Ac  0.0000  0.5000  0.2005 x4  6 Sn 3.41-3.47
Pr  0.0000  0.0000  0.5000 x2  4 Sn 3.19
Sn  0.0000  0.2997  0.3729 x8  1 Sn 2.92, 1 Pr 3.19

Properties
Total magnetization ... 0.0 μB/cell
Formation energy ... -0.560 eV/atom
Density ... 7.17 g/cm3



# 14
The following is a DFT calculation (PBE-GGA) of a geometry-optimized AcPr2Sn structure.

Cell: 5.1335 5.1335 5.0308 Å, 90.00 90.00 90.00°
With the nearest neighbours (Å) after each atom.
Space group P4/mmm (No. 123)
Symmetry-distinct sites (fractional):
Ac  0.0000  0.0000  0.0000 x1  8 Pr 3.59, 4 Sn 3.63
Pr  0.0000  0.5000  0.5000 x2  4 Ac 3.59, 4 Sn 3.59, 4 Pr 3.63
Sn  0.5000  0.5000  0.0000 x1  8 Pr 3.59, 4 Ac 3.63

Properties
Total magnetization ... 0.0 μB/cell
Formation energy ... -0.401 eV/atom
Density ... 7.86 g/cm3



# 15
The following is a DFT calculation (PBE-GGA) of a geometry-optimized Ac2Pr2Sn3 structure.

Cell: 14.2086 4.7088 8.2712 Å, 90.00 117.59 90.00°
With the nearest neighbours (Å) after each atom.
Space group C2/m (No. 12)
Symmetry-distinct sites (fractional):
Ac  0.1228  0.0000  0.2775 x4  4 Sn 3.43-3.62, 2 Pr 3.83
Pr  0.1572  0.0000  0.7650 x4  5 Sn 3.20-3.29
Sn  0.0000  0.5000  0.5000 x2  4 Pr 3.29, 2 Sn 3.36
Sn  0.0915  0.5000  0.9547 x4  2 Sn 3.02-3.36, 3 Pr 3.20-3.23

Properties
Total magnetization ... 0.0 μB/cell
Formation energy ... -0.576 eV/atom
Density ... 7.39 g/cm3



# 16
The following is a DFT calculation (PBE-GGA) of a geometry-optimized Ac4PrSn4 structure.

Cell: 10.0441 10.0441 6.8335 Å, 90.00 90.00 90.00°
With the nearest neighbours (Å) after each atom.
Space group P4_2/n (No. 86, origin choice 2)
Symmetry-distinct sites (fractional):
Ac  0.0394  0.6721  0.1161 x8  4 Sn 3.29-3.60
Pr  0.2500  0.2500  0.2500 x2  4 Sn 3.06
Sn  0.0160  0.6379  0.6068 x8  1 Pr 3.06, 1 Sn 3.15, 2 Ac 3.29-3.38

Properties
Total magnetization ... 0.0 μB/cell
Formation energy ... -0.485 eV/atom
Density ... 7.34 g/cm3



# 17
The following is a DFT calculation (PBE-GGA) of a geometry-optimized AcPr2Sn3 structure.

Cell: 10.3988 11.6596 6.6744 Å, 90.00 90.00 90.00°
With the nearest neighbours (Å) after each atom.
Space group Imma (No. 74)
Symmetry-distinct sites (fractional):
Ac  0.0000  0.2500  0.2493 x4  6 Pr 3.86-3.89, 12 Sn 4.23-4.25
Pr  0.0000  0.0837  0.7497 x8  6 Sn 3.24
Sn  0.2499  0.0000  0.0000 x8  4 Pr 3.24, 4 Sn 3.34-3.36
Sn  0.2500  0.2500  0.7500 x4  4 Pr 3.24, 4 Sn 3.36

Properties
Total magnetization ... 0.0 μB/cell
Formation energy ... -0.494 eV/atom
Density ... 7.10 g/cm3



# 18
The following is a DFT calculation (PBE-GGA) of a geometry-optimized Ac3Pr2Sn4 structure.

Cell: 9.2083 9.6817 7.4387 Å, 90.00 105.70 90.00°
With the nearest neighbours (Å) after each atom.
Space group P2_1/c (No. 14)
Symmetry-distinct sites (fractional):
Ac  0.0000  0.0000  0.0000 x2  6 Sn 3.30-3.59
Ac  0.2510  0.1327  0.6909 x4  5 Sn 3.34-3.67
Pr  0.3667  0.7233  0.9587 x4  6 Sn 3.23-3.53
Sn  0.0696  0.6786  0.1436 x4  2 Pr 3.23-3.41, 4 Ac 3.30-3.42
Sn  0.3988  0.0462  0.1878 x4  4 Pr 3.36-3.53, 4 Ac 3.40-3.67

Properties
Total magnetization ... 0.0 μB/cell
Formation energy ... -0.660 eV/atom
Density ... 7.48 g/cm3



# 19
The following is a DFT calculation (PBE-GGA) of a geometry-optimized Ac2PrSn3 structure.

Cell: 6.9042 16.4266 7.8806 Å, 90.00 109.07 90.00°
With the nearest neighbours (Å) after each atom.
Space group C2/c (No. 15)
Symmetry-distinct sites (fractional):
Ac  0.0000  0.0213  0.2500 x4  6 Sn 3.39-3.48
Ac  0.0000  0.3257  0.2500 x4  6 Sn 3.47-3.54
Pr  0.0000  0.3449  0.7500 x4  6 Sn 3.22-3.34
Sn  0.0000  0.5000  0.0000 x4  2 Pr 3.22, 4 Ac 3.39-3.48
Sn  0.0284  0.1686  0.9523 x8  1 Sn 3.08, 2 Pr 3.28-3.34, 1 Ac 3.42

Properties
Total magnetization ... 0.0 μB/cell
Formation energy ... -0.597 eV/atom
Density ... 7.48 g/cm3



# 20
The following is a DFT calculation (PBE-GGA) of a geometry-optimized AcPr9Sn2 structure.

Cell: 5.0535 5.0535 15.6581 Å, 90.00 90.00 90.00°
With the nearest neighbours (Å) after each atom.
Space group P4/mmm (No. 123)
Symmetry-distinct sites (fractional):
Ac  0.0000  0.0000  0.0000 x1  12 Pr 3.57-3.81
Pr  0.0000  0.5000  0.1819 x4  2 Sn 3.53, 8 Pr 3.57-3.81, 2 Ac 3.81
Pr  0.0000  0.5000  0.5000 x2  8 Pr 3.52-3.57, 4 Sn 3.56
Pr  0.5000  0.5000  0.0000 x1  4 Ac 3.57, 8 Pr 3.81
Pr  0.5000  0.5000  0.3432 x2  8 Pr 3.52-3.57, 4 Sn 3.57
Sn  0.0000  0.0000  0.3394 x2  12 Pr 3.53-3.57

Properties
Total magnetization ... 0.0 μB/cell
Formation energy ... -0.272 eV/atom
Density ... 7.19 g/cm3



# 21
The following is a DFT calculation (PBE-GGA) of a geometry-optimized Ac12PrSn6 structure.

Cell: 15.9568 15.9568 10.7560 Å, 90.00 90.00 120.00°
With the nearest neighbours (Å) after each atom.
Space group R-3 (No. 148, hexagonal axes)
Symmetry-distinct sites (fractional):
Ac  0.0484  0.8512  0.3115 x18  3 Sn 3.32-3.52
Ac  0.0558  0.8077  0.9277 x18  3 Sn 3.34-3.50, 1 Pr 3.68
Pr  0.0000  0.0000  0.0000 x3  6 Ac 3.68
Sn  0.0541  0.8023  0.6102 x18  6 Ac 3.32-3.52

Properties
Total magnetization ... 0.0 μB/cell
Formation energy ... -0.253 eV/atom
Density ... 7.51 g/cm3